This record from Alexandria via LeMat-Bulk describes an optimized crystal structure of BiPbAu. The functional is PBE.

a = 5.0656 Å, b = 4.9964 Å, c = 6.8725 Å
α = 90.00°, β = 111.76°, γ = 90.00°
With the nearest neighbours (Å) after each atom.
Sites, in units of the cell vectors:
Pb 0.8960 0.2500 0.7878  4 Au 3.09-3.14
Pb 0.1040 0.7500 0.2122  4 Au 3.09-3.14
Au 0.2503 0.2500 0.4977  4 Pb 3.09-3.14, 4 Bi 3.11-3.12
Au 0.7497 0.7500 0.5023  4 Pb 3.09-3.14, 4 Bi 3.11-3.12
Bi 0.6068 0.2500 0.2120  4 Au 3.11-3.12
Bi 0.3932 0.7500 0.7880  4 Au 3.11-3.12

Results
Excess energy over the best structure of this formula in the dataset ... 40.6 meV/atom
E_form ... -0.9 kcal/mol of atoms
ρ ... 12.60 Mg/m³
Total energy ... -21.96 eV per cell